DFT (PBE) results for a relaxed Te4XeO4F20 crystal. Values from VASP.

## Properties
E_tot, eV/f.u.: -115.6
Space-group type: P-1
ΔE_f (raw), meV/atom: -1576

Quantum ESPRESSO input file:
```
&SYSTEM
  ibrav = 0, nat = 29, ntyp = 4
/
ATOMIC_SPECIES
Te 127.60 Te.upf
Xe 131.29 Xe.upf
O 16.00 O.upf
F 19.00 F.upf
ATOMIC_POSITIONS angstrom
Te -1.961 7.043 1.709
Te 4.724 0.754 6.778
Te 1.848 1.886 2.478
Te 0.915 5.911 6.010
Xe 0.000 0.000 0.000
O -2.041 0.308 3.905
O 4.804 7.489 4.583
O 0.216 1.047 1.872
O 2.547 6.751 6.616
F -0.627 8.370 1.621
F 3.390 -0.573 6.867
F 1.440 3.467 1.560
F 1.323 4.331 6.927
F -0.678 5.823 2.289
F 3.442 1.975 6.199
F 0.375 -0.250 5.960
F 2.388 8.047 2.528
F -2.101 2.901 3.299
F 4.864 4.896 5.189
F 2.357 0.360 3.441
F 0.406 7.437 5.047
F 0.898 2.489 3.971
F 1.865 5.308 4.516
F 6.754 2.723 3.569
F -3.991 5.074 4.919
F 5.055 0.319 4.979
F -2.292 7.478 3.509
F 3.397 2.719 3.101
F -0.634 5.078 5.387
CELL_PARAMETERS angstrom
-2.429 -1.513 4.984
8.130 -0.813 3.402
-2.938 10.123 0.101
```

DFT (PBE) results for a relaxed YTeO4F crystal. Values from VASP.

## Properties
E_tot, eV/f.u.: -45.9
Space-group type: C2/m
ΔE_f (raw), meV/atom: -2090

Quantum ESPRESSO input file:
```
&SYSTEM
  ibrav = 0, nat = 14, ntyp = 4
/
ATOMIC_SPECIES
Y 88.91 Y.upf
Te 127.60 Te.upf
O 16.00 O.upf
F 19.00 F.upf
ATOMIC_POSITIONS angstrom
Y -4.815 4.712 1.950
Y -5.834 2.763 -4.321
Te -7.155 5.133 -1.341
Te -3.495 2.342 -1.030
O -3.614 3.154 0.595
O -7.035 4.321 -2.966
O -3.399 0.495 -0.880
O -4.767 2.821 -2.251
O -8.852 4.978 -0.608
O -1.798 2.497 -1.763
O -5.882 4.654 -0.120
O -7.250 6.979 -1.491
F -0.800 0.843 0.460
F -9.849 6.632 -2.831
CELL_PARAMETERS angstrom
-1.216 4.109 -4.150
-5.547 -1.305 -1.764
-3.886 4.671 3.543
```

DFT (PBE) results for a relaxed ZnTeO2F crystal. Values from VASP.

## Properties
E_tot, eV/f.u.: -19.5
Space-group type: P4/mmm
ΔE_f (raw), meV/atom: -660

Quantum ESPRESSO input file:
```
&SYSTEM
  ibrav = 0, nat = 5, ntyp = 4
/
ATOMIC_SPECIES
Zn 65.41 Zn.upf
Te 127.60 Te.upf
O 16.00 O.upf
F 19.00 F.upf
ATOMIC_POSITIONS angstrom
Zn 2.088 2.088 2.247
Te 0.000 0.000 0.000
O 0.000 2.088 0.000
O 2.088 0.000 0.000
F 0.000 0.000 2.247
CELL_PARAMETERS angstrom
4.175 0.000 0.000
0.000 4.175 0.000
0.000 0.000 4.493
```

DFT (PBE) results for a relaxed ZnTeOF2 crystal. Values from VASP.

## Properties
E_tot, eV/f.u.: -17.6
Space-group type: P4/mmm
ΔE_f (raw), meV/atom: -901
Excess energy over the best structure of this formula in the dataset, eV/atom: 0.143

Quantum ESPRESSO input file:
```
&SYSTEM
  ibrav = 0, nat = 5, ntyp = 4
/
ATOMIC_SPECIES
Zn 65.41 Zn.upf
Te 127.60 Te.upf
O 16.00 O.upf
F 19.00 F.upf
ATOMIC_POSITIONS angstrom
Zn 2.898 0.251 2.510
Te 0.000 0.000 0.000
O 1.553 1.294 -0.266
F 1.486 -1.666 0.563
F -0.140 0.623 2.212
CELL_PARAMETERS angstrom
-0.281 1.246 4.424
2.971 -3.333 1.127
3.105 2.589 -0.532
```

DFT (PBE) results for a relaxed ZnTeO2F crystal. Values from VASP.

## Properties
E_tot, eV/f.u.: -19.5
Space-group type: P4/mmm
ΔE_f (raw), meV/atom: -667

Quantum ESPRESSO input file:
```
&SYSTEM
  ibrav = 0, nat = 5, ntyp = 4
/
ATOMIC_SPECIES
Zn 65.41 Zn.upf
Te 127.60 Te.upf
O 16.00 O.upf
F 19.00 F.upf
ATOMIC_POSITIONS angstrom
Zn 0.000 0.000 0.000
Te 2.025 2.025 1.943
O 0.000 2.025 0.000
O 2.025 0.000 0.000
F 0.000 0.000 1.943
CELL_PARAMETERS angstrom
4.050 0.000 0.000
0.000 4.050 0.000
0.000 0.000 3.886
```

DFT (PBE) results for a relaxed ZnTeOF2 crystal. Values from VASP.

## Properties
E_tot, eV/f.u.: -18.3
Space-group type: P4/mmm
ΔE_f (raw), meV/atom: -1043
Excess energy over the best structure of this formula in the dataset, eV/atom: 0.000

Quantum ESPRESSO input file:
```
&SYSTEM
  ibrav = 0, nat = 5, ntyp = 4
/
ATOMIC_SPECIES
Zn 65.41 Zn.upf
Te 127.60 Te.upf
O 16.00 O.upf
F 19.00 F.upf
ATOMIC_POSITIONS angstrom
Zn 0.000 0.000 0.000
Te -3.632 -0.050 -0.283
O -1.657 -1.536 0.863
F -0.889 -0.002 -1.710
F -1.086 1.488 0.564
CELL_PARAMETERS angstrom
-2.173 2.977 1.127
-1.778 -0.003 -3.419
-3.313 -3.072 1.727
```

DFT (PBE) results for a relaxed ZrTeOF2 crystal. Values from VASP.

## Properties
E_tot, eV/f.u.: -30.7
Space-group type: P4/mmm
ΔE_f (raw), meV/atom: -2057
Excess energy over the best structure of this formula in the dataset, eV/atom: 0.000

Quantum ESPRESSO input file:
```
&SYSTEM
  ibrav = 0, nat = 5, ntyp = 4
/
ATOMIC_SPECIES
Te 127.60 Te.upf
O 16.00 O.upf
Zr 91.22 Zr.upf
F 19.00 F.upf
ATOMIC_POSITIONS angstrom
Te 2.243 2.243 2.057
O 0.000 0.000 2.057
Zr 0.000 0.000 0.000
F 0.000 2.243 0.000
F 2.243 0.000 0.000
CELL_PARAMETERS angstrom
4.487 0.000 0.000
0.000 4.487 0.000
0.000 0.000 4.113
```

DFT (PBE) results for a relaxed ZrTeO2F crystal. Values from VASP.

## Properties
E_tot, eV/f.u.: -32.8
Space-group type: P4/mmm
ΔE_f (raw), meV/atom: -1874

Quantum ESPRESSO input file:
```
&SYSTEM
  ibrav = 0, nat = 5, ntyp = 4
/
ATOMIC_SPECIES
Te 127.60 Te.upf
O 16.00 O.upf
Zr 91.22 Zr.upf
F 19.00 F.upf
ATOMIC_POSITIONS angstrom
Te 2.121 2.121 2.147
O 0.000 2.121 0.000
O 2.121 0.000 0.000
Zr 0.000 0.000 0.000
F 0.000 0.000 2.147
CELL_PARAMETERS angstrom
4.241 0.000 0.000
0.000 4.241 0.000
0.000 0.000 4.295
```

One value per record, in order, for volume: 498.50 233.11 78.33 86.47 63.74 71.85 82.81 77.25 Å³/cell.